Record 1
MgTaMo2: PBEsol geometry, SCAN.

Cell and atoms, written as POSCAR:
```
MgTaMo2
1.0
6.393 0.000 0.000
0.000 6.393 0.000
0.000 0.000 6.393
Mg Ta Mo
4 4 8
Direct
0.000 0.000 0.000 Mg
0.000 0.500 0.500 Mg
0.500 0.000 0.500 Mg
0.500 0.500 0.000 Mg
0.250 0.250 0.750 Ta
0.250 0.750 0.250 Ta
0.750 0.250 0.250 Ta
0.750 0.750 0.750 Ta
0.000 0.000 0.500 Mo
0.000 0.500 0.000 Mo
0.250 0.250 0.250 Mo
0.250 0.750 0.750 Mo
0.500 0.000 0.000 Mo
0.500 0.500 0.500 Mo
0.750 0.250 0.750 Mo
0.750 0.750 0.250 Mo
```

The calculation puts the energy of formation from the pure elements at 0.34 eV per atom. Its size of the total moment is 0.00 μB per cell.

Record 2
MgTaMo: PBEsol geometry, SCAN.

Cell and atoms, written as POSCAR:
```
MgTaMo
1.0
6.230 0.000 0.000
0.000 6.230 0.000
0.000 0.000 6.230
Mg Ta Mo
4 4 4
Direct
0.000 0.000 0.000 Mg
0.000 0.500 0.500 Mg
0.500 0.000 0.500 Mg
0.500 0.500 0.000 Mg
0.000 0.000 0.500 Ta
0.000 0.500 0.000 Ta
0.500 0.000 0.000 Ta
0.500 0.500 0.500 Ta
0.250 0.250 0.750 Mo
0.250 0.750 0.250 Mo
0.750 0.250 0.250 Mo
0.750 0.750 0.750 Mo
```

The calculation puts the energy of formation from the pure elements at 1.04 eV per atom. Its size of the total moment is 0.00 μB per cell.

Record 3
Mg2TcMo: PBEsol geometry, SCAN.

Cell and atoms, written as POSCAR:
```
Mg2TcMo
1.0
6.308 0.000 0.000
0.000 6.308 0.000
0.000 0.000 6.308
Mg Tc Mo
8 4 4
Direct
0.000 0.000 0.000 Mg
0.000 0.500 0.500 Mg
0.250 0.250 0.250 Mg
0.250 0.750 0.750 Mg
0.500 0.000 0.500 Mg
0.500 0.500 0.000 Mg
0.750 0.250 0.750 Mg
0.750 0.750 0.250 Mg
0.000 0.000 0.500 Tc
0.000 0.500 0.000 Tc
0.500 0.000 0.000 Tc
0.500 0.500 0.500 Tc
0.250 0.250 0.750 Mo
0.250 0.750 0.250 Mo
0.750 0.250 0.250 Mo
0.750 0.750 0.750 Mo
```

The calculation puts the energy of formation from the pure elements at 0.14 eV per atom. The calculation puts the energy above the most stable polymorph in this dataset at 0.1106 eV/atom. Its size of the total moment is 0.00 μB per cell.

Record 4
Mg2TcMo: PBEsol geometry, SCAN.

Cell and atoms, written as POSCAR:
```
Mg2TcMo
1.0
3.135 0.000 0.000
0.000 3.135 0.000
0.000 0.000 7.031
Mg Tc Mo
2 1 1
Direct
0.000 0.000 0.000 Mg
0.500 0.500 0.303 Mg
0.500 0.500 0.746 Tc
0.000 0.000 0.569 Mo
```

The calculation puts the energy of formation from the pure elements at 0.03 eV per atom. The calculation puts the energy above the most stable polymorph in this dataset at 0.0000 eV/atom. Its size of the total moment is 0.02 μB per cell.

Record 5
Mg4TcMo: PBEsol geometry, SCAN.

Cell and atoms, written as POSCAR:
```
Mg4TcMo
1.0
0.000 3.702 3.702
3.702 0.000 3.702
3.702 3.702 0.000
Mg Tc Mo
4 1 1
Direct
0.125 0.125 0.125 Mg
0.125 0.125 0.625 Mg
0.125 0.625 0.125 Mg
0.625 0.125 0.125 Mg
0.750 0.750 0.750 Tc
0.500 0.500 0.500 Mo
```

The calculation puts the energy of formation from the pure elements at 0.67 eV per atom. Its size of the total moment is 0.98 μB per cell.

Record 6
MgTcMo2: PBEsol geometry, SCAN.

Cell and atoms, written as POSCAR:
```
MgTcMo2
1.0
3.208 0.000 0.000
0.000 4.306 0.000
0.000 0.000 4.390
Mg Tc Mo
1 1 2
Direct
0.000 0.000 0.000 Mg
0.500 0.500 0.000 Tc
0.000 0.500 0.500 Mo
0.500 0.000 0.500 Mo
```

The calculation puts the energy of formation from the pure elements at 0.32 eV per atom. Its size of the total moment is 0.00 μB per cell.

Record 7
MgTcMo2: PBEsol geometry, SCAN.

Cell and atoms, written as POSCAR:
```
MgTcMo2
1.0
2.799 0.000 0.000
-1.399 2.424 0.000
0.000 0.000 27.865
Mg Tc Mo
3 3 6
Direct
0.000 0.000 0.000 Mg
0.333 0.667 0.667 Mg
0.667 0.333 0.333 Mg
0.000 0.000 0.500 Tc
0.333 0.667 0.167 Tc
0.667 0.333 0.833 Tc
0.000 0.000 0.244 Mo
0.000 0.000 0.756 Mo
0.333 0.667 0.423 Mo
0.333 0.667 0.911 Mo
0.667 0.333 0.089 Mo
0.667 0.333 0.577 Mo
```

The calculation puts the energy of formation from the pure elements at 0.32 eV per atom. Its size of the total moment is 0.00 μB per cell.

Record 8
MgTcMo2: PBEsol geometry, SCAN.

Cell and atoms, written as POSCAR:
```
MgTcMo2
1.0
5.363 0.000 0.000
0.000 9.001 0.000
-0.830 0.000 2.523
Mg Tc Mo
2 2 4
Direct
0.000 0.000 0.000 Mg
0.500 0.500 0.000 Mg
0.000 0.500 0.000 Tc
0.500 0.000 0.000 Tc
0.250 0.250 0.500 Mo
0.250 0.750 0.500 Mo
0.750 0.250 0.500 Mo
0.750 0.750 0.500 Mo
```

The calculation puts the energy of formation from the pure elements at 0.22 eV per atom. Its size of the total moment is 0.00 μB per cell.